Below is an optimized crystal structure of La2CuNi4Ge3, with properties calculated at the PBE level.

Computed properties:
Size of the total moment ... 0.00 μB/f.u.
V ... 17.141 Å³ per atom
Fermi-level density of states ... 7.6 states/eV per cell
Energy relative to the elements ... -0.595 eV/atom
Calculated density ... 7.69 g/cm³

Cell lengths 4.2109, 4.2109, 9.6670 Å; angles 90.00, 90.00, 90.00 degrees
Closest atoms and distances in Å follow each position.
Fractional positions:
La (0.0000, 0.5000, 0.2465)  6 Ge 3.18-3.23, 2 Cu 3.18, 8 Ni 3.19-3.23
La (0.5000, 0.0000, 0.7535)  6 Ge 3.18-3.23, 2 Cu 3.18, 8 Ni 3.19-3.23
Cu (0.5000, 0.5000, 0.0000)  4 Ni 2.44
Ni (0.0000, 0.0000, 0.5000)  4 Ge 2.42
Ni (0.0000, 0.5000, 0.8723)  3 Ge 2.40-2.44, 2 Cu 2.44
Ni (0.5000, 0.0000, 0.1277)  3 Ge 2.40-2.44, 2 Cu 2.44
Ni (0.5000, 0.5000, 0.5000)  4 Ge 2.42
Ge (0.0000, 0.0000, 0.0000)  4 Ni 2.44
Ge (0.0000, 0.5000, 0.6241)  5 Ni 2.40-2.42
Ge (0.5000, 0.0000, 0.3759)  5 Ni 2.40-2.42